# 1
Compound: CaPr2Mg
Source: the Alexandria database
Functional: PBE
Structure: optimized geometry

a b c (Å): 4.2391 5.6229 5.6229
angles (deg): 90.00 90.00 90.00
Atoms (fractional coordinates):
Pr: 0.0000 0.0000 0.5000
Pr: 0.0000 0.5000 0.0000
Ca: 0.5000 0.5000 0.5000
Mg: 0.5000 0.0000 0.0000

Values from the calculation:
Its total magnetization is 0.0 μB per formula unit. Its total energy is -13.091 eV/f.u.



# 2
Compound: PmZn2GaPd
Source: the Alexandria database
Functional: PBE
Structure: optimized geometry

a b c (Å): 4.0596 4.2452 6.3212
angles (deg): 109.62 108.73 90.00
Atoms (fractional coordinates):
Pm: 0.4422 0.4422 0.8844
Zn: 0.6960 0.1960 0.3921
Zn: 0.0541 0.0541 0.1082
Ga: 0.1905 0.6905 0.3811
Pd: 0.8293 0.8293 0.6585

Values from the calculation:
Its total magnetization is 0.0 μB per formula unit. Its total energy is -18.151 eV/f.u.



- Look up the total energy of the first one.
  -13.091 eV/f.u.



- Which of these has the lowest total energy?
  PmZn2GaPd